The following is a PBE calculation of crystalline K3Lu at its relaxed geometry, from Alexandria.

Properties
symmetry	Pm-3m (221)
energy relative to the elements	0.57	eV per atom
V	219.9	Å³/f.u.
crystal system	cubic

Geometry as CIF:
```
data_K3Lu
_cell_length_a 6.0359
_cell_length_b 6.0359
_cell_length_c 6.0359
_cell_angle_alpha 90.00
_cell_angle_beta 90.00
_cell_angle_gamma 90.00
_symmetry_space_group_name_H-M 'P 1'
_symmetry_Int_Tables_number 1
_symmetry_space_group_name_Hall 'P 1'
loop_
_atom_site_label
_atom_site_type_symbol
_atom_site_fract_x
_atom_site_fract_y
_atom_site_fract_z
K1 K 0.0000 0.0000 0.5000
K2 K 0.0000 0.5000 0.0000
K3 K 0.5000 0.0000 0.0000
Lu1 Lu 0.5000 0.5000 0.5000
```